1.
Entry from the Alexandria database: NpMoHO6 after structural relaxation (PBE with a Hubbard U).

Results
**Uncorrected energy**: -138.86 eV/cell

abc: 4.4482 4.4482 11.6921
angles: 90.00 90.00 90.00
Last column: nearest neighbours and their distance in Å.
Fractional coordinates of all 18 atoms:
Np1 0.0000 0.0000 0.0000  2 O 1.93
Np2 0.5000 0.5000 0.5000  2 O 1.93
Mo1 0.0000 0.0000 0.2766  4 O 1.79-1.83
Mo2 0.5000 0.5000 0.7766  4 O 1.79-1.83
H1 0.0000 0.0000 0.5183  2 O 1.22
H2 0.5000 0.5000 0.0183  2 O 1.22
O1 0.1932 0.1932 0.5083  1 H 1.22
O2 0.2048 0.2048 0.1706  1 Mo 1.79
O3 0.2430 0.2430 0.8507  1 Mo 1.83
O4 0.2570 0.7430 0.3507  1 Mo 1.83
O5 0.2952 0.7048 0.6706  1 Mo 1.79
O6 0.3068 0.6932 0.0083  1 H 1.22
O7 0.6932 0.3068 0.0083  1 H 1.22
O8 0.7048 0.2952 0.6706  1 Mo 1.79
O9 0.7430 0.2570 0.3507  1 Mo 1.83
O10 0.7570 0.7570 0.8507  1 Mo 1.83
O11 0.7952 0.7952 0.1706  1 Mo 1.79
O12 0.8068 0.8068 0.5083  1 H 1.22

2.
Entry from the Alexandria database: MoH2O after structural relaxation (PBE with a Hubbard U).

Results
**Uncorrected energy**: -17.45 eV/cell
**Excess energy over the best structure of this formula in the dataset**: 398.6 meV/atom

abc: 3.4923 3.4923 3.4923
angles: 60.00 60.00 60.00
Last column: nearest neighbours and their distance in Å.
Fractional coordinates of all 4 atoms:
Mo1 0.0000 0.0000 0.0000  8 H 2.14
H1 0.2500 0.2500 0.2500  4 O 2.14, 4 Mo 2.14
H2 0.7500 0.7500 0.7500  4 O 2.14, 4 Mo 2.14
O1 0.5000 0.5000 0.5000  8 H 2.14

3.
Entry from the Alexandria database: Mo3HO after structural relaxation (PBE with a Hubbard U).

Results
**Uncorrected energy**: -23.40 eV/cell
**Excess energy over the best structure of this formula in the dataset**: 0.0 meV/atom

abc: 3.9727 3.9727 3.9727
angles: 90.00 90.00 90.00
Last column: nearest neighbours and their distance in Å.
Fractional coordinates of all 5 atoms:
Mo1 0.0000 0.0000 0.5000  2 H 1.99
Mo2 0.0000 0.5000 0.0000  2 H 1.99
Mo3 0.5000 0.0000 0.0000  2 H 1.99
H1 0.0000 0.0000 0.0000  6 Mo 1.99
O1 0.5000 0.5000 0.5000  12 Mo 2.81

4.
Entry from the Alexandria database: MoH2O after structural relaxation (PBE with a Hubbard U).

Results
**Uncorrected energy**: -38.09 eV/cell
**Excess energy over the best structure of this formula in the dataset**: 0.0 meV/atom

abc: 7.9430 7.9430 7.9430
angles: 157.50 157.50 32.04
Last column: nearest neighbours and their distance in Å.
Fractional coordinates of all 8 atoms:
Mo1 0.3750 0.6250 0.7500  4 H 2.06, 4 O 2.19
Mo2 0.6250 0.3750 0.2500  4 H 2.06, 4 O 2.19
H1 0.0000 0.5000 0.5000  2 H 1.55
H2 0.5000 0.0000 0.0000  2 H 1.55
H3 0.5000 0.5000 0.0000  2 H 1.55
H4 0.5000 0.5000 0.5000  2 H 1.55
O1 0.1250 0.8750 0.2500  4 Mo 2.19
O2 0.8750 0.1250 0.7500  4 Mo 2.19

5.
Entry from the Alexandria database: MoHO after structural relaxation (PBE with a Hubbard U).

Results
**Uncorrected energy**: -65.89 eV/cell

abc: 2.8666 2.8666 19.6355
angles: 90.00 90.00 120.00
Last column: nearest neighbours and their distance in Å.
Fractional coordinates of all 12 atoms:
Mo1 0.3333 0.6667 0.1078  6 H 1.98
Mo2 0.3333 0.6667 0.6407  6 O 2.06-2.07
Mo3 0.6667 0.3333 0.3593  6 O 2.06-2.07
Mo4 0.6667 0.3333 0.8922  6 H 1.98
H1 0.3333 0.6667 0.8365  3 Mo 1.98, 1 H 2.18
H2 0.3333 0.6667 0.9475  3 Mo 1.98, 1 H 2.18
H3 0.6667 0.3333 0.0525  3 Mo 1.98, 1 H 2.18
H4 0.6667 0.3333 0.1635  3 Mo 1.98, 1 H 2.18
O1 0.3333 0.6667 0.2961  3 Mo 2.07
O2 0.3333 0.6667 0.4219  3 Mo 2.06
O3 0.6667 0.3333 0.5781  3 Mo 2.06
O4 0.6667 0.3333 0.7039  3 Mo 2.07

6.
Entry from the Alexandria database: Mo2H2O7 after structural relaxation (PBE with a Hubbard U).

Results
**Uncorrected energy**: -139.43 eV/cell
**Excess energy over the best structure of this formula in the dataset**: 39.9 meV/atom

abc: 7.8590 3.7676 9.8090
angles: 90.00 111.32 90.00
Last column: nearest neighbours and their distance in Å.
Fractional coordinates of all 22 atoms:
Mo1 0.1495 0.2500 0.4493  5 O 1.78-1.99
Mo2 0.1828 0.7500 0.9821  2 O 1.71-1.76
Mo3 0.8172 0.2500 0.0179  2 O 1.71-1.76
Mo4 0.8505 0.7500 0.5507  5 O 1.78-1.99
H1 0.3343 0.2500 0.2962  1 O 0.98
H2 0.4473 0.2500 0.7136  1 O 0.99
H3 0.5527 0.7500 0.2864  1 O 0.99
H4 0.6657 0.7500 0.7038  1 O 0.98
O1 0.0200 0.2500 0.2576  1 Mo 1.78
O2 0.0845 0.7500 0.4723  2 Mo 1.99
O3 0.0976 0.2500 0.9709  2 Mo 1.99
O4 0.3190 0.2500 0.6430  1 H 0.99
O5 0.3211 0.7500 0.1687  1 Mo 1.76, 1 H 1.77
O6 0.3421 0.7500 0.9015  1 Mo 1.71
O7 0.3625 0.2500 0.4025  1 H 0.98
O8 0.6375 0.7500 0.5975  1 H 0.98
O9 0.6579 0.2500 0.0985  1 Mo 1.71
O10 0.6789 0.2500 0.8313  1 Mo 1.76, 1 H 1.77
O11 0.6810 0.7500 0.3570  1 H 0.99
O12 0.9024 0.7500 0.0291  2 Mo 1.99
O13 0.9155 0.2500 0.5277  2 Mo 1.99
O14 0.9800 0.7500 0.7424  1 Mo 1.78

7.
Entry from the Alexandria database: Mo2H2O7 after structural relaxation (PBE with a Hubbard U).

Results
**Uncorrected energy**: -140.31 eV/cell
**Excess energy over the best structure of this formula in the dataset**: 0.0 meV/atom

abc: 5.6771 5.6771 11.2728
angles: 92.69 92.69 114.41
Last column: nearest neighbours and their distance in Å.
Fractional coordinates of all 22 atoms:
Mo1 0.1573 0.1810 0.3797  3 O 1.72-1.91
Mo2 0.1810 0.1573 0.8797  3 O 1.72-1.91
Mo3 0.8190 0.8427 0.1203  3 O 1.72-1.91
Mo4 0.8427 0.8190 0.6203  3 O 1.72-1.91
H1 0.2015 0.7629 0.0272  1 O 0.99
H2 0.2371 0.7985 0.4728  1 O 0.99
H3 0.7629 0.2015 0.5272  1 O 0.99
H4 0.7985 0.2371 0.9728  1 O 0.99
O1 0.0748 0.8346 0.0035  1 H 0.99
O2 0.0994 0.9006 0.7500  2 Mo 1.91
O3 0.1544 0.4050 0.8066  1 Mo 1.72
O4 0.1654 0.9252 0.4965  1 H 0.99
O5 0.2685 0.5064 0.4281  1 Mo 1.74, 1 H 1.79
O6 0.4050 0.1544 0.3066  1 Mo 1.72
O7 0.4936 0.7315 0.0719  1 Mo 1.74, 1 H 1.79
O8 0.5064 0.2685 0.9281  1 Mo 1.74, 1 H 1.79
O9 0.5950 0.8456 0.6934  1 Mo 1.72
O10 0.7315 0.4936 0.5719  1 Mo 1.74, 1 H 1.79
O11 0.8346 0.0748 0.5035  1 H 0.99
O12 0.8456 0.5950 0.1934  1 Mo 1.72
O13 0.9006 0.0994 0.2500  2 Mo 1.91
O14 0.9252 0.1654 0.9965  1 H 0.99

8.
Entry from the Alexandria database: MoHPb2O after structural relaxation (PBE with a Hubbard U).

Results
**Uncorrected energy**: -20.79 eV/cell

abc: 5.5291 5.5291 2.9916
angles: 90.00 90.00 90.00
Last column: nearest neighbours and their distance in Å.
Fractional coordinates of all 5 atoms:
Mo1 0.0000 0.0000 0.0000  2 Mo 2.99, 8 Pb 3.14
H1 0.5000 0.5000 0.5000  2 O 1.50
Pb1 0.0000 0.5000 0.5000  2 H 2.76, 2 Pb 2.99
Pb2 0.5000 0.0000 0.5000  2 H 2.76, 2 Pb 2.99
O1 0.5000 0.5000 0.0000  2 H 1.50

9.
Entry from the Alexandria database: Rb2MoHO4 after structural relaxation (PBE with a Hubbard U).

Results
**Uncorrected energy**: -84.13 eV/cell

abc: 11.8838 10.3688 6.6434
angles: 85.66 60.46 33.88
Last column: nearest neighbours and their distance in Å.
Fractional coordinates of all 16 atoms:
Rb1 0.0456 0.0456 0.7044  8 O 2.99-3.21
Rb2 0.2956 0.2956 0.9544  8 O 2.99-3.21
Rb3 0.7044 0.7044 0.0456  8 O 2.99-3.21
Rb4 0.9544 0.9544 0.2956  8 O 2.99-3.21
Mo1 0.3750 0.3750 0.3750  4 O 1.87
Mo2 0.6250 0.6250 0.6250  4 O 1.87
H1 0.1250 0.1250 0.1250  4 O 1.76
H2 0.8750 0.8750 0.8750  4 O 1.76
O1 0.0250 0.3120 0.4005  1 H 1.76, 1 Mo 1.87
O2 0.2376 0.5995 0.6880  1 H 1.76, 1 Mo 1.87
O3 0.3120 0.0250 0.7624  1 H 1.76, 1 Mo 1.87
O4 0.4005 0.7624 0.0250  1 H 1.76, 1 Mo 1.87
O5 0.5995 0.2376 0.9750  1 H 1.76, 1 Mo 1.87
O6 0.6880 0.9750 0.2376  1 H 1.76, 1 Mo 1.87
O7 0.7624 0.4005 0.3120  1 H 1.76, 1 Mo 1.87
O8 0.9750 0.6880 0.5995  1 H 1.76, 1 Mo 1.87

10.
Entry from the Alexandria database: MoH2SeO after structural relaxation (PBE with a Hubbard U).

Results
**Uncorrected energy**: -20.18 eV/cell

abc: 3.4991 3.4991 5.3141
angles: 90.00 90.00 90.00
Last column: nearest neighbours and their distance in Å.
Fractional coordinates of all 5 atoms:
Mo1 0.0000 0.0000 0.0000  4 H 1.75
H1 0.0000 0.5000 0.0000  2 Mo 1.75
H2 0.5000 0.0000 0.0000  2 Mo 1.75
Se1 0.0000 0.0000 0.5000  4 O 2.47, 2 Mo 2.66
O1 0.5000 0.5000 0.5000  4 Se 2.47